A crystal of Rb2SnHgGe relaxed with PBEsol, computed with meta-GGA SCAN.

Properties
- VASP energy (eV per atom) = -32.922
- density of states at the Fermi level (states/eV per cell) = 2.064
- energy of formation (meV per atom) = 9
- total moment (μB/cell) = 0.00
- crystal system = tetragonal

abc: 6.7111 6.7111 5.1991
angles: 90.00 90.00 90.00
Closest atoms and distances in Å follow each position.
Space group P4/mmm (No. 123)
Symmetry-distinct sites (fractional):
Rb (0.0000, 0.5000, 0.0000) (multiplicity 2)  2 Ge 3.36
Sn (0.0000, 0.0000, 0.5000) (multiplicity 1)  2 Ge 2.60
Hg (0.5000, 0.5000, 0.5000) (multiplicity 1)  8 Rb 4.24, 4 Sn 4.75
Ge (0.0000, 0.0000, 0.0000) (multiplicity 1)  2 Sn 2.60

A crystal of LiDy2Os relaxed with PBEsol, computed with meta-GGA SCAN.

Properties
- VASP energy (eV per atom) = -42.812
- density of states at the Fermi level (states/eV per cell) = 8.712
- energy of formation (meV per atom) = -347
- total moment (μB/cell) = 0.01
- crystal system = cubic

abc: 6.8201 6.8201 6.8201
angles: 90.00 90.00 90.00
Closest atoms and distances in Å follow each position.
Space group Fm-3m (No. 225)
Symmetry-distinct sites (fractional):
Li (0.0000, 0.0000, 0.0000) (multiplicity 4)  8 Dy 2.95
Dy (0.2500, 0.2500, 0.2500) (multiplicity 8)  4 Li 2.95, 4 Os 2.95
Os (0.0000, 0.0000, 0.5000) (multiplicity 4)  8 Dy 2.95

A crystal of Be2SeCl relaxed with PBEsol, computed with meta-GGA SCAN.

Properties
- VASP energy (eV per atom) = -8.734
- density of states at the Fermi level (states/eV per cell) = 1.190
- energy relative to the elements, uncorrected (eV per atom) = 0.46
- energy above the lowest structure with this stoichiometry (eV per formula unit) = 3.48
- total moment (μB/cell) = 0.00
- crystal system = tetragonal

abc: 4.3452 4.3452 2.9742
angles: 90.00 90.00 90.00
Closest atoms and distances in Å follow each position.
Space group P4/mmm (No. 123)
Symmetry-distinct sites (fractional):
Be (0.0000, 0.5000, 0.0000) (multiplicity 2)  4 Cl 2.63, 4 Se 2.63
Se (0.0000, 0.0000, 0.5000) (multiplicity 1)  8 Be 2.63
Cl (0.5000, 0.5000, 0.5000) (multiplicity 1)  8 Be 2.63

A crystal of KBeNbGe2 relaxed with PBEsol, computed with meta-GGA SCAN.

Properties
- VASP energy (eV per atom) = -14.230
- density of states at the Fermi level (states/eV per cell) = 3.559
- energy of formation (meV per atom) = 2568
- total moment (μB/cell) = 2.64
- crystal system = tetragonal

abc: 5.1342 5.1342 4.6910
angles: 90.00 90.00 90.00
Closest atoms and distances in Å follow each position.
Space group P4/mmm (No. 123)
Symmetry-distinct sites (fractional):
K (0.0000, 0.0000, 0.0000) (multiplicity 1)  2 Nb 2.35, 4 Ge 2.57
Be (0.5000, 0.5000, 0.5000) (multiplicity 1)  8 Ge 3.48, 4 Nb 3.63
Nb (0.0000, 0.0000, 0.5000) (multiplicity 1)  2 K 2.35
Ge (0.0000, 0.5000, 0.0000) (multiplicity 2)  2 K 2.57

A crystal of Y2HgRh relaxed with PBEsol, computed with meta-GGA SCAN.

Properties
- VASP energy (eV per atom) = -40.144
- density of states at the Fermi level (states/eV per cell) = 4.778
- energy of formation (meV per atom) = -738
- total moment (μB/cell) = 0.00
- crystal system = trigonal

abc: 3.8618 3.8618 22.8061
angles: 90.00 90.00 120.00
Closest atoms and distances in Å follow each position.
Space group R-3m (No. 166, hexagonal axes)
Symmetry-distinct sites (fractional):
Y (0.0000, 0.0000, 0.2357) (multiplicity 6)  3 Rh 2.73
Hg (0.0000, 0.0000, 0.0000) (multiplicity 3)  6 Y 3.15
Rh (0.0000, 0.0000, 0.5000) (multiplicity 3)  6 Y 2.73

A crystal of Na2BeHg relaxed with PBEsol, computed with meta-GGA SCAN.

Properties
- VASP energy (eV per atom) = -19.919
- density of states at the Fermi level (states/eV per cell) = 6.939
- energy of formation (meV per atom) = 318
- total moment (μB/cell) = 0.00
- crystal system = cubic

abc: 7.0168 7.0168 7.0168
angles: 90.00 90.00 90.00
Closest atoms and distances in Å follow each position.
Space group Fm-3m (No. 225)
Symmetry-distinct sites (fractional):
Na (0.2500, 0.2500, 0.2500) (multiplicity 8)  4 Hg 3.04, 4 Be 3.04
Be (0.0000, 0.0000, 0.0000) (multiplicity 4)  8 Na 3.04
Hg (0.0000, 0.0000, 0.5000) (multiplicity 4)  8 Na 3.04